## CrTcTe2 (PBE)

Data for an optimized crystal structure of CrTcTe2.

Output
- formation energy from raw total energies (eV/atom) = 0.35
- space group = C2/m (12)
- DOS(E_F) (states/eV/cell) = 3.63
- energy above the lowest structure with this stoichiometry (eV/f.u.) = 1.39

a b c (Å): 4.3826 4.3826 6.0291
angles (deg): 77.93 77.93 47.30
Last column: nearest neighbours and their distance in Å.
Atoms (fractional coordinates):
1 Te 0.9909 0.9909 0.0151  3 Tc 2.75-2.77, 3 Cr 2.78-2.91
2 Cr 0.7500 0.7500 0.7500  6 Te 2.78-2.91
3 Te 0.5091 0.5091 0.4849  3 Tc 2.75-2.77, 3 Cr 2.78-2.91
4 Tc 0.2500 0.2500 0.2500  6 Te 2.75-2.77

---

## CrTcTe2 (PBE)

Data for an optimized crystal structure of CrTcTe2.

Output
- formation energy from raw total energies (eV/atom) = 0.28
- space group = Imm2 (44)
- DOS(E_F) (states/eV/cell) = 3.38
- energy above the lowest structure with this stoichiometry (eV/f.u.) = 1.10

a b c (Å): 7.3425 7.3425 7.3425
angles (deg): 152.41 148.18 42.61
Last column: nearest neighbours and their distance in Å.
Atoms (fractional coordinates):
1 Te 0.9924 0.9924 0.0000  4 Cr 2.79, 2 Tc 2.84
2 Cr 0.4317 0.4317 0.0000  2 Tc 2.46
3 Te 0.2470 0.7470 0.5000  4 Tc 2.89, 2 Cr 3.07
4 Tc 0.8289 0.3289 0.5000  2 Cr 2.46

---

## CrTcTe4 (PBE)

Data for an optimized crystal structure of CrTcTe4.

Output
- formation energy from raw total energies (eV/atom) = 1.29
- space group = F-43m (216)
- DOS(E_F) (states/eV/cell) = 6.44

a b c (Å): 6.2884 6.2884 6.2884
angles (deg): 60.00 60.00 60.00
Last column: nearest neighbours and their distance in Å.
Atoms (fractional coordinates):
1 Tc 0.0000 0.0000 0.0000  12 Te 3.69, 4 Cr 3.85
2 Te 0.3750 0.3750 0.3750  6 Te 3.14
3 Te 0.8750 0.3750 0.3750  6 Te 3.14
4 Cr 0.7500 0.7500 0.7500  12 Te 3.69, 4 Tc 3.85
5 Te 0.3750 0.8750 0.3750  6 Te 3.14
6 Te 0.3750 0.3750 0.8750  6 Te 3.14

---

## CrTcTe2 (PBE)

Data for an optimized crystal structure of CrTcTe2.

Output
- formation energy from raw total energies (eV/atom) = 0.18
- space group = P4mm (99)
- DOS(E_F) (states/eV/cell) = 2.44
- energy above the lowest structure with this stoichiometry (eV/f.u.) = 0.68

a b c (Å): 3.1682 3.1682 8.2666
angles (deg): 90.00 90.00 90.00
Last column: nearest neighbours and their distance in Å.
Atoms (fractional coordinates):
1 Te 0.0000 0.0000 0.9102  4 Tc 2.72
2 Cr 0.0000 0.0000 0.5222  4 Te 2.68, 4 Tc 2.79
3 Te 0.5000 0.5000 0.3447  4 Cr 2.68
4 Tc 0.5000 0.5000 0.7230  4 Te 2.72, 4 Cr 2.79

---

Question: Look up the DOS(E_F) of the first one.
Answer: 3.63 states/eV/cell